5
Lattice="5.9159 0.0000 0.0000 0.0000 5.9159 0.0000 0.0000 0.0000 3.9101" Properties=species:S:1:pos:R:3 comment="MgGaI2F (GGA-PBE, optimized geometry)" formation_energy_uncorrected_ev_per_atom=-1.367 pbc="T T T"
I 2.9580 0.0000 0.0000
I 0.0000 2.9580 0.0000
Ga 2.9580 2.9580 1.9551
Mg 0.0000 0.0000 0.0000
F 0.0000 0.0000 1.9551